# GGA+U KVO2, relaxed
# E: -6.399 eV/atom
# ρ: 2.45 g/cm3
# calculated volume: 20.65 Å³/atom
data_KVO2
_chemical_formula_sum 'K4 V4 O8'
_cell_length_a 9.7970
_cell_length_b 5.8091
_cell_length_c 7.5532
_cell_angle_alpha 90.00
_cell_angle_beta 129.78
_cell_angle_gamma 90.00
_space_group_name_H-M_alt 'P 1'
_space_group_IT_number 1
_space_group_name_Hall 'P 1'
loop_
_atom_site_label
_atom_site_type_symbol
_atom_site_fract_x
_atom_site_fract_y
_atom_site_fract_z
K1 K 0.1547 0.0000 0.3134
K2 K 0.3453 0.5000 0.6866
K3 K 0.6547 0.5000 0.3134
K4 K 0.8453 0.0000 0.6866
V1 V 0.1448 0.4721 0.9995
V2 V 0.3552 0.9721 0.0005
V3 V 0.6448 0.9721 0.9995
V4 V 0.8552 0.4721 0.0005
O1 O 0.1135 0.5187 0.2297
O2 O 0.1942 0.1520 0.0006
O3 O 0.3058 0.6520 0.9994
O4 O 0.3865 0.0187 0.7703
O5 O 0.6135 0.0187 0.2297
O6 O 0.6942 0.6520 0.0006
O7 O 0.8058 0.1520 0.9994
O8 O 0.8865 0.5187 0.7703